The following is a DFT calculation (GGA-PBE) of crystalline Tm2ZrTl at its relaxed geometry.

Results
Calculated volume: 25.45 Å³/atom
Space-group type: F-43m (216)
Total energy: -19.5 eV/cell
Crystal system: cubic
Fermi-level density of states: 1.88 states/eV per atom
DFT formation energy: 0.080 eV/atom

Lattice parameters (Å, degrees): 5.2415 5.2415 5.2408 60.00 60.00 60.00
Closest atoms and distances in Å follow each position.
Fractional positions:
Zr1 0.5000 0.5000 0.5000  4 Tl 3.21, 4 Tm 3.21
Tm1 0.0000 0.0000 0.9999  4 Tm 3.21, 4 Tl 3.21
Tm2 0.2500 0.2500 0.2501  4 Tm 3.21, 4 Zr 3.21
Tl1 0.7500 0.7500 0.7500  4 Zr 3.21, 4 Tm 3.21